No. 1
Crystalline DyZrGaPt at its relaxed geometry. Source: Alexandria, functional PBE-GGA.

POSCAR file:
```
DyZrGaPt
1.0
-3.948 1.170 2.627
-4.412 -1.565 -1.393
-2.308 -3.430 2.600
Ga Pt Zr Dy
1 1 1 1
direct
0.250 0.250 0.250 Ga
0.750 0.750 0.750 Pt
0.500 0.500 0.500 Zr
0.000 0.000 0.000 Dy
```

**Final energy**: -24.98 eV/cell
**Formation enthalpy at 0 K**: -0.692 eV/atom
**SG**: F-43m
**Calculated volume**: 82 Å³/f.u.

***

No. 2
Crystalline Ir2PtCl at its relaxed geometry. Source: Alexandria, functional PBE-GGA.

POSCAR file:
```
Ir2PtCl
1.0
-3.662 0.986 -2.348
-0.008 -0.496 -4.433
-2.394 -3.264 -1.875
Ir Pt Cl
2 1 1
direct
0.750 0.750 0.750 Ir
0.000 0.000 0.000 Ir
0.250 0.250 0.250 Pt
0.500 0.500 0.500 Cl
```

**Final energy**: -21.94 eV/cell
**SG**: F-43m
**Calculated volume**: 63 Å³/f.u.
**Distance to the lowest polymorph of the same formula**: 0.574 eV/atom

***

No. 3
Crystalline Er11Cd9Cu4 at its relaxed geometry. Source: Alexandria, functional PBE-GGA.

POSCAR file:
```
Er11Cd9Cu4
1.0
-2.245 0.545 2.801
-6.852 -10.467 -3.456
9.596 -2.881 8.251
Er Cd Cu
11 9 4
direct
0.000 0.695 0.695 Er
0.000 0.584 0.922 Er
0.000 0.078 0.416 Er
0.000 0.000 0.000 Er
0.000 0.369 0.631 Er
0.000 0.305 0.305 Er
0.000 0.838 0.162 Er
0.000 0.922 0.584 Er
0.000 0.631 0.369 Er
0.000 0.162 0.838 Er
0.000 0.416 0.078 Er
0.500 0.216 0.072 Cd
0.500 0.156 0.633 Cd
0.500 0.072 0.216 Cd
0.500 0.500 0.500 Cd
0.500 0.844 0.367 Cd
0.500 0.367 0.844 Cd
0.500 0.784 0.928 Cd
0.500 0.928 0.784 Cd
0.500 0.633 0.156 Cd
0.500 0.549 0.746 Cu
0.500 0.451 0.254 Cu
0.500 0.254 0.451 Cu
0.500 0.746 0.549 Cu
```

**Final energy**: -82.33 eV/cell
**Formation enthalpy at 0 K**: -0.313 eV/atom
**SG**: Cmmm
**Calculated volume**: 566 Å³/f.u.